1.
Density functional theory data (PBE-GGA) for a relaxed Li2FeAs2 crystal.

Values from the calculation:
* energy above the most stable polymorph in this dataset: 3.486 eV per formula unit
* ΔH_f (0 K): 1.4 eV per formula unit
* calculated total energy: -4.031 eV per atom
* space-group type: I4/mmm
* volume: 14.24 A^3/atom

The structure in CIF format:
```
data_Li2FeAs2
_chemical_formula_sum 'Li2 Fe1 As2'
_space_group_name_H-M_alt 'P 1'
_space_group_IT_number 1
_cell_length_a 4.575
_cell_length_b 4.575
_cell_length_c 4.695
_cell_angle_alpha 60.84
_cell_angle_beta 60.84
_cell_angle_gamma 90.00
loop_
_space_group_symop_operation_xyz
'x,y,z'
loop_
_atom_site_label
_atom_site_fract_x
_atom_site_fract_y
_atom_site_fract_z
As1 0.750 0.250 0.500
As2 0.250 0.750 0.500
Fe1 0.000 0.000 0.000
Li1 0.350 0.350 0.299
Li2 0.650 0.650 0.701
```



2.
Density functional theory data (PBE-GGA) for a relaxed ScPaCS2 crystal.

Values from the calculation:
* calculated total energy: -7.971 eV per atom
* space-group type: P4/nmm
* ΔE_f (raw): -1.310 eV/atom
* volume: 18.94 A^3/atom

The structure in CIF format:
```
data_ScPaCS2
_chemical_formula_sum 'Sc2 Pa2 C2 S4'
_space_group_name_H-M_alt 'P 1'
_space_group_IT_number 1
_cell_length_a 3.784
_cell_length_b 3.784
_cell_length_c 13.226
_cell_angle_alpha 90.00
_cell_angle_beta 90.00
_cell_angle_gamma 90.00
loop_
_space_group_symop_operation_xyz
'x,y,z'
loop_
_atom_site_label
_atom_site_fract_x
_atom_site_fract_y
_atom_site_fract_z
Sc1 0.500 0.000 0.109
Sc2 0.000 0.500 0.891
Pa1 0.500 0.000 0.597
Pa2 0.000 0.500 0.403
C1 0.000 0.000 0.500
C2 0.500 0.500 0.500
S1 0.000 0.500 0.706
S2 0.000 0.500 0.093
S3 0.500 0.000 0.907
S4 0.500 0.000 0.294
```



3.
Density functional theory data (PBE-GGA) for a relaxed Sm6YHo crystal.

Values from the calculation:
* energy above the most stable polymorph in this dataset: 1.340 eV per formula unit
* ΔH_f (0 K): 1.5 eV per formula unit
* calculated total energy: -4.734 eV per atom
* space-group type: P-1
* volume: 33.49 A^3/atom

The structure in CIF format:
```
data_Sm6YHo
_chemical_formula_sum 'Sm6 Y1 Ho1'
_space_group_name_H-M_alt 'P 1'
_space_group_IT_number 1
_cell_length_a 6.838
_cell_length_b 6.581
_cell_length_c 6.997
_cell_angle_alpha 101.57
_cell_angle_beta 61.01
_cell_angle_gamma 89.65
loop_
_space_group_symop_operation_xyz
'x,y,z'
loop_
_atom_site_label
_atom_site_fract_x
_atom_site_fract_y
_atom_site_fract_z
Sm1 0.098 0.729 0.473
Sm2 0.574 0.768 0.523
Sm3 0.426 0.232 0.477
Sm4 0.902 0.271 0.527
Sm5 0.552 0.749 0.000
Sm6 0.448 0.251 0.000
Y1 0.000 0.000 0.000
Ho1 0.000 0.500 0.000
```



4.
Density functional theory data (PBE-GGA) for a relaxed SmThCdC crystal.

Values from the calculation:
* ΔH_f (0 K): -0.9 eV per formula unit
* calculated total energy: -5.802 eV per atom
* space-group type: R3m
* volume: 24.50 A^3/atom

The structure in CIF format:
```
data_SmThCdC
_chemical_formula_sum 'Sm1 Th1 Cd1 C1'
_space_group_name_H-M_alt 'P 1'
_space_group_IT_number 1
_cell_length_a 3.652
_cell_length_b 3.652
_cell_length_c 8.741
_cell_angle_alpha 90.00
_cell_angle_beta 102.04
_cell_angle_gamma 119.99
loop_
_space_group_symop_operation_xyz
'x,y,z'
loop_
_atom_site_label
_atom_site_fract_x
_atom_site_fract_y
_atom_site_fract_z
Sm1 0.522 0.159 0.696
Th1 0.079 0.937 0.032
Cd1 0.973 0.385 0.373
C1 0.304 0.550 0.869
```



5.
Density functional theory data (PBE-GGA) for a relaxed PmDy8Sc6 crystal.

Values from the calculation:
* ΔH_f (0 K): 2.8 eV per formula unit
* calculated total energy: -5.116 eV per atom
* space-group type: R-3
* volume: 29.20 A^3/atom

The structure in CIF format:
```
data_PmDy8Sc6
_chemical_formula_sum 'Pm1 Dy8 Sc6'
_space_group_name_H-M_alt 'P 1'
_space_group_IT_number 1
_cell_length_a 9.362
_cell_length_b 9.362
_cell_length_c 7.907
_cell_angle_alpha 53.70
_cell_angle_beta 53.70
_cell_angle_gamma 60.00
loop_
_space_group_symop_operation_xyz
'x,y,z'
loop_
_atom_site_label
_atom_site_fract_x
_atom_site_fract_y
_atom_site_fract_z
Pm1 0.000 0.000 0.000
Dy1 0.365 0.227 0.476
Dy2 0.773 0.068 0.524
Dy3 0.068 0.635 0.524
Dy4 0.590 0.590 0.229
Dy5 0.410 0.410 0.771
Dy6 0.932 0.365 0.476
Dy7 0.227 0.932 0.476
Dy8 0.635 0.773 0.524
Sc1 0.388 0.941 0.961
Sc2 0.059 0.290 0.039
Sc3 0.290 0.612 0.039
Sc4 0.710 0.388 0.961
Sc5 0.941 0.710 0.961
Sc6 0.612 0.059 0.039
```



6.
Density functional theory data (PBE-GGA) for a relaxed Li12Cu2Pd crystal.

Values from the calculation:
* ΔH_f (0 K): -0.1 eV per formula unit
* calculated total energy: -2.430 eV per atom
* space-group type: Pmmm
* volume: 16.16 A^3/atom

The structure in CIF format:
```
data_Li12Cu2Pd
_chemical_formula_sum 'Li24 Cu4 Pd2'
_space_group_name_H-M_alt 'P 1'
_space_group_IT_number 1
_cell_length_a 5.578
_cell_length_b 5.578
_cell_length_c 18.305
_cell_angle_alpha 90.00
_cell_angle_beta 90.00
_cell_angle_gamma 121.68
loop_
_space_group_symop_operation_xyz
'x,y,z'
loop_
_atom_site_label
_atom_site_fract_x
_atom_site_fract_y
_atom_site_fract_z
Li1 0.500 0.500 0.781
Li2 0.000 0.000 0.781
Li3 0.750 0.750 0.932
Li4 0.250 0.750 0.875
Li5 0.000 0.000 0.357
Li6 0.250 0.750 0.125
Li7 0.750 0.250 0.628
Li8 0.500 0.500 0.357
Li9 0.250 0.250 0.932
Li10 0.750 0.750 0.068
Li11 0.373 0.127 0.500
Li12 0.750 0.250 0.372
Li13 0.000 0.000 0.643
Li14 0.127 0.373 0.500
Li15 0.250 0.250 0.068
Li16 0.873 0.627 0.500
Li17 0.627 0.873 0.500
Li18 0.000 0.000 0.219
Li19 0.250 0.750 0.628
Li20 0.500 0.500 0.643
Li21 0.750 0.250 0.875
Li22 0.500 0.500 0.219
Li23 0.250 0.750 0.372
Li24 0.750 0.250 0.125
Cu1 0.500 0.000 0.253
Cu2 0.000 0.500 0.253
Cu3 0.000 0.500 0.747
Cu4 0.500 0.000 0.747
Pd1 0.500 0.000 0.000
Pd2 0.000 0.500 0.000
```



7.
Density functional theory data (PBE-GGA) for a relaxed RbZr2InRe crystal.

Values from the calculation:
* ΔH_f (0 K): 11.7 eV per formula unit
* calculated total energy: -4.316 eV per atom
* space-group type: P4/mmm
* volume: 23.70 A^3/atom

The structure in CIF format:
```
data_RbZr2InRe
_chemical_formula_sum 'Rb1 Zr2 In1 Re1'
_space_group_name_H-M_alt 'P 1'
_space_group_IT_number 1
_cell_length_a 4.974
_cell_length_b 4.790
_cell_length_c 4.974
_cell_angle_alpha 90.00
_cell_angle_beta 90.00
_cell_angle_gamma 90.00
loop_
_space_group_symop_operation_xyz
'x,y,z'
loop_
_atom_site_label
_atom_site_fract_x
_atom_site_fract_y
_atom_site_fract_z
Re1 0.000 0.500 0.000
Rb1 0.000 0.000 0.000
Zr1 0.000 0.000 0.500
Zr2 0.500 0.000 0.000
In1 0.500 0.500 0.500
```



8.
Density functional theory data (PBE-GGA) for a relaxed SrMoP3 crystal.

Values from the calculation:
* energy above the most stable polymorph in this dataset: 12.318 eV per formula unit
* ΔH_f (0 K): 10.9 eV per formula unit
* calculated total energy: -3.561 eV per atom
* space-group type: Pm-3m
* volume: 26.26 A^3/atom

The structure in CIF format:
```
data_SrMoP3
_chemical_formula_sum 'Sr1 Mo1 P3'
_space_group_name_H-M_alt 'P 1'
_space_group_IT_number 1
_cell_length_a 5.083
_cell_length_b 5.083
_cell_length_c 5.083
_cell_angle_alpha 90.00
_cell_angle_beta 90.00
_cell_angle_gamma 90.00
loop_
_space_group_symop_operation_xyz
'x,y,z'
loop_
_atom_site_label
_atom_site_fract_x
_atom_site_fract_y
_atom_site_fract_z
Sr1 0.000 0.000 0.000
Mo1 0.500 0.500 0.500
P1 0.000 0.500 0.000
P2 0.000 0.000 0.500
P3 0.500 0.000 0.000
```



9.
Density functional theory data (PBE-GGA) for a relaxed FeMoPt2 crystal.

Values from the calculation:
* ΔH_f (0 K): -1.0 eV per formula unit
* calculated total energy: -8.089 eV per atom
* space-group type: Pmmm
* volume: 14.74 A^3/atom

The structure in CIF format:
```
data_FeMoPt2
_chemical_formula_sum 'Fe1 Mo1 Pt2'
_space_group_name_H-M_alt 'P 1'
_space_group_IT_number 1
_cell_length_a 2.742
_cell_length_b 3.964
_cell_length_c 5.425
_cell_angle_alpha 90.00
_cell_angle_beta 90.00
_cell_angle_gamma 90.00
loop_
_space_group_symop_operation_xyz
'x,y,z'
loop_
_atom_site_label
_atom_site_fract_x
_atom_site_fract_y
_atom_site_fract_z
Mo1 0.500 0.500 0.750
Fe1 0.500 0.500 0.250
Pt1 0.000 0.000 0.002
Pt2 0.000 0.000 0.498
```



10.
Density functional theory data (PBE-GGA) for a relaxed AcSm12Ho3 crystal.

Values from the calculation:
* ΔH_f (0 K): 0.4 eV per formula unit
* calculated total energy: -4.630 eV per atom
* space-group type: P4/mmm
* volume: 33.81 A^3/atom

The structure in CIF format:
```
data_AcSm12Ho3
_chemical_formula_sum 'Ac1 Sm12 Ho3'
_space_group_name_H-M_alt 'P 1'
_space_group_IT_number 1
_cell_length_a 5.133
_cell_length_b 5.133
_cell_length_c 20.533
_cell_angle_alpha 90.00
_cell_angle_beta 90.00
_cell_angle_gamma 90.00
loop_
_space_group_symop_operation_xyz
'x,y,z'
loop_
_atom_site_label
_atom_site_fract_x
_atom_site_fract_y
_atom_site_fract_z
Ac1 0.000 0.000 0.000
Sm1 0.500 0.500 0.000
Sm2 0.500 0.500 0.255
Sm3 0.500 0.500 0.500
Sm4 0.500 0.500 0.745
Sm5 0.500 0.000 0.131
Sm6 0.500 0.000 0.377
Sm7 0.500 0.000 0.623
Sm8 0.500 0.000 0.869
Sm9 0.000 0.500 0.131
Sm10 0.000 0.500 0.377
Sm11 0.000 0.500 0.623
Sm12 0.000 0.500 0.869
Ho1 0.000 0.000 0.254
Ho2 0.000 0.000 0.500
Ho3 0.000 0.000 0.746
```



11.
Density functional theory data (PBE-GGA) for a relaxed HgPbI2 crystal.

Values from the calculation:
* energy above the most stable polymorph in this dataset: 0.000 eV per formula unit
* calculated total energy: -2.235 eV per atom
* space-group type: R3m
* ΔE_f (raw): -0.457 eV/atom
* volume: 47.53 A^3/atom

The structure in CIF format:
```
data_HgPbI2
_chemical_formula_sum 'Hg1 Pb1 I2'
_space_group_name_H-M_alt 'P 1'
_space_group_IT_number 1
_cell_length_a 4.621
_cell_length_b 4.621
_cell_length_c 10.620
_cell_angle_alpha 77.43
_cell_angle_beta 77.43
_cell_angle_gamma 60.00
loop_
_space_group_symop_operation_xyz
'x,y,z'
loop_
_atom_site_label
_atom_site_fract_x
_atom_site_fract_y
_atom_site_fract_z
Hg1 0.500 0.500 0.499
Pb1 0.667 0.667 0.000
I1 0.061 0.061 0.817
I2 0.272 0.272 0.184
```



12.
Density functional theory data (PBE-GGA) for a relaxed TiSnS2N crystal.

Values from the calculation:
* energy above the most stable polymorph in this dataset: 0.000 eV per formula unit
* calculated total energy: -6.041 eV per atom
* space-group type: P4/mmm
* ΔE_f (raw): -0.346 eV/atom
* volume: 18.58 A^3/atom

The structure in CIF format:
```
data_TiSnS2N
_chemical_formula_sum 'Ti1 Sn1 S2 N1'
_space_group_name_H-M_alt 'P 1'
_space_group_IT_number 1
_cell_length_a 4.919
_cell_length_b 4.919
_cell_length_c 3.839
_cell_angle_alpha 90.00
_cell_angle_beta 90.00
_cell_angle_gamma 90.00
loop_
_space_group_symop_operation_xyz
'x,y,z'
loop_
_atom_site_label
_atom_site_fract_x
_atom_site_fract_y
_atom_site_fract_z
S1 0.000 0.500 0.000
S2 0.500 0.000 0.000
N1 0.000 0.000 0.500
Sn1 0.500 0.500 0.500
Ti1 0.000 0.000 0.000
```